Record 1
Li3Hg5F12 | PBE-GGA | optimized geometry

Structure (extended XYZ):
```
80
Lattice="-10.853 4.385 -1.063 3.873 -3.469 -10.541 -0.187 -9.190 7.324" Properties=species:S:1:pos:R:3 pbc="T T T"
Hg -1.378 -5.949 0.359
F -5.638 -0.491 -5.941
Li -6.615 0.086 -7.920
Li -6.711 0.839 -3.834
F 1.620 -8.646 -1.265
F -8.044 0.571 -5.665
F -2.409 -0.879 -4.196
F -3.398 -4.996 0.042
Hg -4.042 -7.903 -2.161
Hg 1.937 -1.735 -5.270
F -1.813 -8.090 6.028
F -3.769 -3.278 -4.321
F -1.593 -6.369 4.033
F -7.499 2.230 -1.643
Li -9.059 1.105 -0.416
F 0.332 -10.504 -2.636
F -0.567 -2.271 -0.229
F -1.964 -8.781 -2.123
F -6.599 -6.004 -4.050
Hg -8.645 -2.775 1.013
F -4.758 -7.396 -0.083
F 0.046 -2.321 -6.540
Li 1.892 -9.380 -3.863
Hg 0.000 0.000 0.000
F -1.454 -4.527 -3.060
F -0.097 -4.360 1.322
F -3.311 -4.377 -6.682
F -0.585 -8.648 -4.690
Hg 0.653 -3.088 -8.573
Hg -7.216 -5.224 -2.024
Hg 1.843 -6.330 -1.608
F 0.152 -1.390 -3.778
F -9.904 -4.325 4.259
Hg -3.125 -0.372 -2.118
F -9.530 -2.053 2.959
Hg -3.490 0.458 -5.802
Hg -5.426 2.192 -0.531
Hg -0.094 -4.595 3.662
F -4.566 -1.298 1.287
Hg -5.789 -2.326 -4.638
F -5.203 0.506 -2.156
Li -4.868 -5.491 -5.442
F -6.581 0.373 0.411
Li -0.552 -8.361 3.641
F -3.856 -3.897 2.403
F -0.486 -6.654 -1.589
Li -0.456 -9.113 -0.445
Li -1.282 -6.701 -3.726
Hg -3.441 -2.593 -8.056
Li -5.885 -1.573 -0.553
F -7.213 -5.953 2.261
F -8.559 -1.118 -0.516
Li -2.299 -2.784 1.163
Hg -3.726 -5.682 3.777
F -3.263 -2.214 -0.824
Li -1.696 -2.821 -5.155
F -5.713 -3.747 -1.219
F -5.574 -1.905 -8.311
F 2.737 -3.950 -8.538
Li -5.471 -5.453 0.876
F -2.170 -0.992 -7.101
F -6.680 -1.621 -2.690
Hg 1.478 -5.500 -5.292
F -1.529 -7.784 1.662
Hg 0.049 -3.050 -2.254
F 0.877 -8.845 1.386
F 2.363 -6.222 -7.237
F -5.354 -0.184 -10.307
F -7.319 -6.885 -0.501
F -6.515 -3.467 1.285
F -7.070 -3.914 -5.601
F -3.904 -6.060 -3.455
Hg -3.583 -4.137 -2.139
F -4.997 -7.283 2.822
F 1.392 -7.157 -3.763
Hg -7.819 -5.187 4.294
F -2.601 -6.977 -5.566
Hg -5.520 -2.403 3.131
F -0.652 -4.807 -5.563
F -8.787 0.371 -3.014
```

VASP energy	-250.90	eV/cell
crystal system	cubic
raw formation energy	-1.65	eV per atom

***

Record 2
ZnFeP2 | PBE-GGA | optimized geometry

Structure (extended XYZ):
```
4
Lattice="2.764 0.000 0.000 0.000 2.764 0.000 0.000 0.000 7.157" Properties=species:S:1:pos:R:3 pbc="T T T"
Zn 1.382 1.382 1.789
Fe 1.382 1.382 5.367
P 0.000 0.000 3.984
P 0.000 0.000 6.751
```

VASP energy	-20.42	eV/cell
crystal system	tetragonal
formation energy	0.0348	eV/atom

***

Record 3
Ba3Sb2AsAu6 | PBE-GGA | optimized geometry

Structure (extended XYZ):
```
12
Lattice="6.759 0.000 0.000 -3.379 5.853 0.000 0.000 0.000 9.744" Properties=species:S:1:pos:R:3 pbc="T T T"
Au 1.511 0.872 6.862
Sb 3.379 1.951 8.403
Au -1.868 4.981 2.883
Ba 0.000 3.902 5.989
As 0.000 0.000 4.872
Au 5.247 0.872 6.862
Sb 0.000 3.902 1.341
Ba 3.379 1.951 3.756
Au 3.379 4.108 6.862
Au 1.868 4.981 2.883
Ba 0.000 0.000 0.000
Au 0.000 1.745 2.883
```

VASP energy	-44.77	eV/cell
crystal system	trigonal
raw formation energy	-0.54	eV per atom

***

Record 4
CaErInIr | PBE-GGA | optimized geometry

Structure (extended XYZ):
```
4
Lattice="-2.274 1.351 -4.295 -3.903 -2.681 -1.739 -4.650 1.951 0.113" Properties=species:S:1:pos:R:3 pbc="T T T"
Ir 0.000 0.000 0.000
Ca -2.707 0.155 -1.480
Er -8.120 0.466 -4.441
In -5.414 0.310 -2.960
```

VASP energy	-19.83	eV/cell
crystal system	cubic
formation energy	-0.4166	eV/atom

***

Record 5
TiBeZn3 | PBE-GGA | optimized geometry

Structure (extended XYZ):
```
5
Lattice="4.187 0.000 0.000 0.000 4.187 0.000 0.000 0.000 4.187" Properties=species:S:1:pos:R:3 pbc="T T T"
Zn 0.000 2.093 0.000
Ti 2.093 2.093 2.093
Zn 0.000 0.000 2.093
Be 0.000 0.000 0.000
Zn 2.093 0.000 0.000
```

VASP energy	-14.13	eV/cell
crystal system	cubic
formation energy	0.2622	eV/atom

***

Record 6
Ac2Pd3Au6 | PBE-GGA | optimized geometry

Structure (extended XYZ):
```
11
Lattice="4.378 0.000 0.000 0.000 8.054 0.000 0.000 -4.027 6.975" Properties=species:S:1:pos:R:3 pbc="T T T"
Au 0.000 0.823 1.425
Au 2.189 2.976 5.154
Au 0.000 6.408 0.000
Pd 2.189 4.772 0.000
Ac 0.000 4.027 2.325
Au 2.189 2.102 0.000
Au 2.189 -1.051 1.821
Au 0.000 -3.204 5.550
Pd 2.189 1.641 2.842
Ac 0.000 0.000 4.650
Pd 2.189 -2.386 4.132
```

VASP energy	-49.15	eV/cell
crystal system	hexagonal
formation energy	-0.5174	eV/atom

***

Record 7
La2YCd | PBE-GGA | optimized geometry

Structure (extended XYZ):
```
4
Lattice="6.129 -0.028 -0.090 -2.802 6.077 0.011 0.524 1.048 3.374" Properties=species:S:1:pos:R:3 pbc="T T T"
La 3.326 0.510 1.642
La 0.000 0.000 0.000
Cd 1.663 3.024 -0.040
Y -1.139 3.563 1.692
```

VASP energy	-17.32	eV/cell
crystal system	monoclinic
formation energy	-0.0212	eV/atom

***

Record 8
TbHoGaSe | PBE-GGA | optimized geometry

Structure (extended XYZ):
```
4
Lattice="-0.225 2.645 -2.939 2.384 -0.327 -3.145 -4.274 -3.377 -5.382" Properties=species:S:1:pos:R:3 pbc="T T T"
Se -1.573 -0.783 -8.591
Ho -1.079 -0.548 -5.748
Tb -4.254 -3.361 -5.369
Ga -0.540 -0.274 -2.874
```

VASP energy	-20.40	eV/cell
crystal system	trigonal
raw formation energy	-1.17	eV per atom

***

Record 9
KMo2Ru | PBE-GGA | optimized geometry

Structure (extended XYZ):
```
4
Lattice="2.806 0.005 0.000 -1.019 2.615 0.000 0.000 0.000 10.167" Properties=species:S:1:pos:R:3 pbc="T T T"
Ru 0.000 0.000 4.656
K 0.893 1.310 7.488
Mo 0.893 1.310 2.604
Mo 0.000 0.000 0.503
```

VASP energy	-29.12	eV/cell
crystal system	orthorhombic
formation energy	0.7295	eV/atom

***

Record 10
Y2BiIr | PBE-GGA | optimized geometry

Structure (extended XYZ):
```
4
Lattice="-1.461 -3.577 1.071 2.097 -3.332 -0.762 3.798 -1.658 7.148" Properties=species:S:1:pos:R:3 pbc="T T T"
Y 1.295 -2.108 2.230
Bi 0.000 0.000 0.000
Y 3.139 -6.459 5.226
Ir 2.217 -4.284 3.728
```

VASP energy	-28.14	eV/cell
crystal system	trigonal
formation energy	-0.6176	eV/atom

***

Record 11
VHgAs2Br | PBE-GGA | optimized geometry

Structure (extended XYZ):
```
5
Lattice="4.737 0.000 0.000 0.000 5.388 0.000 0.000 0.000 4.737" Properties=species:S:1:pos:R:3 pbc="T T T"
As 2.369 0.000 0.000
Hg 2.369 2.694 2.369
As 0.000 0.000 2.369
Br 0.000 2.694 0.000
V 0.000 0.000 0.000
```

VASP energy	-19.84	eV/cell
crystal system	tetragonal
raw formation energy	0.11	eV per atom

***

Record 12
TaMnVCd2 | PBE-GGA | optimized geometry

Structure (extended XYZ):
```
5
Lattice="5.103 0.000 0.000 0.000 4.496 0.000 0.000 0.000 5.103" Properties=species:S:1:pos:R:3 pbc="T T T"
V 0.000 0.000 0.000
Cd 0.000 0.000 2.552
Ta 0.000 2.248 0.000
Cd 2.552 0.000 0.000
Mn 2.552 2.248 2.552
```

VASP energy	-25.80	eV/cell
crystal system	tetragonal
formation energy	1.2345	eV/atom

***

Record 13
HoNpIrRh | PBE-GGA | optimized geometry

Structure (extended XYZ):
```
4
Lattice="4.827 0.000 0.000 2.414 4.181 0.000 2.414 1.394 3.942" Properties=species:S:1:pos:R:3 pbc="T T T"
Np 2.414 1.394 0.985
Ho 7.241 4.181 2.956
Ir 0.000 0.000 0.000
Rh 4.827 2.787 1.971
```

VASP energy	-35.88	eV/cell
crystal system	cubic
formation energy	-0.5363	eV/atom

***

Record 14
K3Na3MnBr8 | PBE-GGA | optimized geometry

Structure (extended XYZ):
```
15
Lattice="8.723 0.000 0.000 -4.362 7.557 -0.027 0.000 -5.013 7.575" Properties=species:S:1:pos:R:3 pbc="T T T"
Br -2.388 3.917 5.300
Br 6.750 -1.373 2.248
Na 4.362 -2.506 3.787
K 2.181 3.779 -0.014
Br 2.388 3.917 5.300
Na -2.181 1.272 3.774
Br 1.973 -1.373 2.248
K 0.000 0.000 0.000
Mn 0.000 -2.506 3.787
Na 2.181 1.272 3.774
Br 4.362 2.767 2.233
Br 0.000 -0.222 5.315
Br 0.000 2.525 2.094
K -2.181 3.779 -0.014
Br 4.362 0.020 5.453
```

VASP energy	-51.89	eV/cell
crystal system	trigonal
raw formation energy	-1.47	eV per atom

***

Record 15
KCaAs2 | PBE-GGA | optimized geometry

Structure (extended XYZ):
```
4
Lattice="-5.443 -0.336 -1.052 -0.505 -3.402 -4.361 2.737 -0.748 4.775" Properties=species:S:1:pos:R:3 pbc="T T T"
Ca -2.840 -1.476 0.508
K -0.371 -3.010 -1.146
As -2.974 -1.869 -2.706
As 0.000 0.000 0.000
```

VASP energy	-14.24	eV/cell
crystal system	tetragonal
formation energy	-0.4614	eV/atom

***

Record 16
HfGa2Cu2 | PBE-GGA | optimized geometry

Structure (extended XYZ):
```
10
Lattice="7.391 0.000 0.000 0.000 7.391 0.000 0.000 0.000 2.816" Properties=species:S:1:pos:R:3 pbc="T T T"
Ga 6.396 4.691 0.000
Ga 2.700 6.396 0.000
Cu 1.207 4.903 1.408
Ga 4.691 0.995 0.000
Cu 6.183 2.488 1.408
Hf 0.000 0.000 0.000
Ga 0.995 2.700 0.000
Hf 3.695 3.695 0.000
Cu 2.488 1.207 1.408
Cu 4.903 6.183 1.408
```

VASP energy	-49.54	eV/cell
crystal system	tetragonal
formation energy	-0.1140	eV/atom

***

Record 17
RbSr2I2 | PBE-GGA | optimized geometry

Structure (extended XYZ):
```
10
Lattice="-9.837 2.010 1.905 -0.071 -7.212 7.239 1.163 2.923 2.924" Properties=species:S:1:pos:R:3 pbc="T T T"
I -3.675 -5.517 6.978
I -8.577 -2.820 6.232
Rb -4.954 -2.601 4.572
Sr -7.712 0.694 5.530
Rb 0.000 0.000 0.000
Sr -1.032 -2.973 6.538
I -6.233 0.314 2.166
Sr -5.963 -3.277 8.804
Sr -2.781 0.997 3.264
I -1.331 -2.383 2.912
```

VASP energy	-21.93	eV/cell
crystal system	tetragonal
raw formation energy	-0.71	eV per atom

***

Record 18
ReNiOs | PBE-GGA | optimized geometry

Structure (extended XYZ):
```
3
Lattice="4.191 0.000 0.000 -2.096 3.630 0.000 0.000 0.000 2.684" Properties=species:S:1:pos:R:3 pbc="T T T"
Ni 0.000 0.000 2.236
Os 2.096 1.210 0.895
Re 0.000 2.420 2.238
```

VASP energy	-29.03	eV/cell
crystal system	hexagonal
formation energy	0.1415	eV/atom

***

Record 19
AcCu2Pd3 | PBE-GGA | optimized geometry

Structure (extended XYZ):
```
6
Lattice="-0.325 3.644 1.884 -3.906 -2.080 3.351 5.347 -0.279 1.462" Properties=species:S:1:pos:R:3 pbc="T T T"
Cu -0.826 -1.483 2.726
Pd -2.120 0.779 2.622
Pd 0.554 0.640 3.353
Ac -0.005 -0.003 0.004
Pd 2.506 1.680 1.677
Cu 2.258 -0.882 2.095
```

VASP energy	-31.10	eV/cell
crystal system	hexagonal
formation energy	-0.5370	eV/atom

***

Record 20
CoPC2 | PBE-GGA | optimized geometry

Structure (extended XYZ):
```
8
Lattice="-1.142 1.115 -4.108 3.083 -2.716 -1.595 -1.706 -3.797 -2.921" Properties=species:S:1:pos:R:3 pbc="T T T"
Co 0.000 0.000 0.000
C -0.725 -0.621 -3.389
C -0.471 -3.519 -4.371
P 1.174 -3.656 -3.683
P 0.970 -0.800 -2.851
C 1.328 -2.478 -2.348
C 0.338 -4.177 -7.138
Co -0.939 -1.741 -4.940
```

VASP energy	-58.23	eV/cell
crystal system	tetragonal
formation energy	0.4627	eV/atom